This record from Alexandria via LeMat-Bulk describes LaY2Se after structural relaxation. The functional is PBE.

Cell: 6.7332 6.7332 5.5347 Å, 114.19 114.19 31.54°
Closest atoms and distances in Å follow each position.
Sites, in units of the cell vectors:
La 0.0000 0.0000 0.0000  2 Se 3.09
Y 0.5949 0.5949 0.5948  2 Se 2.90
Y 0.8001 0.8001 0.2993  4 Se 3.32, 2 La 3.62-3.63, 4 Y 3.66-3.67
Se 0.2872 0.2872 0.7871  2 Y 2.90, 2 La 3.09

Output
The calculation puts the total magnetization at 0.00 μB/cell. As for the formation energy (no corrections): -0.616 eV per atom. Its crystal system is monoclinic.

---

This record from Alexandria via LeMat-Bulk describes LaY2Se after structural relaxation. The functional is PBE.

Cell: 6.2402 6.2402 6.2402 Å, 136.50 136.50 63.21°
Closest atoms and distances in Å follow each position.
Sites, in units of the cell vectors:
La 0.0000 0.0000 0.0000  8 Y 3.27-3.52, 4 Se 3.52
Y 0.5000 0.5000 0.0000  4 La 3.27, 4 Y 3.52, 4 Se 3.52
Y 0.7500 0.2500 0.5000  4 Se 3.27, 4 La 3.52, 4 Y 3.52
Se 0.2500 0.7500 0.5000  8 Y 3.27-3.52, 4 La 3.52

Output
The calculation puts the total magnetization at 0.00 μB/cell. As for the formation energy (no corrections): -0.381 eV per atom. Its crystal system is tetragonal.

---

This record from Alexandria via LeMat-Bulk describes LaY2Se after structural relaxation. The functional is PBE.

Cell: 6.6803 6.6803 6.6803 Å, 148.36 129.82 60.54°
Closest atoms and distances in Å follow each position.
Sites, in units of the cell vectors:
La 0.0000 0.0000 0.0000  4 Se 3.37, 2 La 3.64, 4 Y 3.66
Y 0.2986 0.7986 0.5000  2 Se 2.95
Y 0.7014 0.2014 0.5000  2 Se 2.95
Se 0.5000 0.5000 0.0000  4 Y 2.95

Output
The calculation puts the total magnetization at 0.17 μB/cell. As for the formation energy (no corrections): -0.731 eV per atom. Its crystal system is orthorhombic.

---

This record from Alexandria via LeMat-Bulk describes LaZnSe2 after structural relaxation. The functional is PBE.

Cell: 7.5514 7.5514 7.5514 Å, 150.04 148.99 43.66°
Closest atoms and distances in Å follow each position.
Sites, in units of the cell vectors:
La 0.0000 0.0000 0.0000  6 Se 2.99-3.13, 2 Zn 3.28
Zn 0.3154 0.8154 0.5000  4 Se 2.81
Se 0.5729 0.5729 0.0000  4 La 2.99
Se 0.8251 0.3251 0.5000  4 Zn 2.81, 2 La 3.13

Output
The calculation puts the total magnetization at 0.00 μB/cell. As for the formation energy (no corrections): -1.123 eV per atom. Its crystal system is orthorhombic.

---

This record from Alexandria via LeMat-Bulk describes LaZn3Se after structural relaxation. The functional is PBE.

Cell: 4.9997 4.9997 4.9997 Å, 90.00 90.00 90.00°
Closest atoms and distances in Å follow each position.
Sites, in units of the cell vectors:
La 0.0000 0.0000 0.0000  12 Zn 3.54
Zn 0.0000 0.5000 0.5000  2 Se 2.50
Zn 0.5000 0.0000 0.5000  2 Se 2.50
Zn 0.5000 0.5000 0.0000  2 Se 2.50
Se 0.5000 0.5000 0.5000  6 Zn 2.50

Output
The calculation puts the total magnetization at 0.00 μB/cell. As for the formation energy (no corrections): 0.186 eV per atom. Its crystal system is cubic. As for the energy above the lowest structure with this stoichiometry: 0.000 eV/f.u.

---

This record from Alexandria via LeMat-Bulk describes La2ZnSe after structural relaxation. The functional is PBE.

Cell: 5.2406 5.2406 5.2406 Å, 60.00 60.00 60.00°
Closest atoms and distances in Å follow each position.
Sites, in units of the cell vectors:
La 0.0000 0.0000 0.0000  4 Se 3.21, 4 La 3.21
La 0.2500 0.2500 0.2500  4 La 3.21, 4 Zn 3.21
Zn 0.5000 0.5000 0.5000  4 La 3.21, 4 Se 3.21
Se 0.7500 0.7500 0.7500  4 La 3.21, 4 Zn 3.21

Output
The calculation puts the total magnetization at 0.00 μB/cell. As for the formation energy (no corrections): -0.256 eV per atom. Its crystal system is cubic. As for the energy above the lowest structure with this stoichiometry: 3.396 eV/f.u.

---

This record from Alexandria via LeMat-Bulk describes LaZnSe2 after structural relaxation. The functional is PBE.

Cell: 7.5552 7.5552 7.5552 Å, 129.28 129.28 74.55°
Closest atoms and distances in Å follow each position.
Sites, in units of the cell vectors:
La 0.0000 0.0000 0.0000  4 Se 2.94
La 0.7500 0.2500 0.5000  4 Se 2.94
Zn 0.2500 0.7500 0.5000  4 Se 2.56
Zn 0.5000 0.5000 0.0000  4 Se 2.56
Se 0.1747 0.6250 0.0497  2 Zn 2.56
Se 0.3750 0.4247 0.5497  2 Zn 2.56
Se 0.5753 0.1250 0.9503  2 Zn 2.56
Se 0.8750 0.8253 0.4503  2 Zn 2.56

Output
The calculation puts the total magnetization at 0.00 μB/cell. As for the formation energy (no corrections): -0.982 eV per atom. Its crystal system is tetragonal.

---

This record from Alexandria via LeMat-Bulk describes LaZnSe2 after structural relaxation. The functional is PBE.

Cell: 7.8987 7.8987 7.8987 Å, 31.69 31.69 31.69°
Closest atoms and distances in Å follow each position.
Sites, in units of the cell vectors:
La 0.0000 0.0000 0.0000  3 Se 2.91
Zn 0.7663 0.7663 0.7663  3 Se 2.51
Se 0.2667 0.2667 0.2667  3 La 2.91
Se 0.4468 0.4468 0.4468  3 Zn 2.51

Output
The calculation puts the total magnetization at 0.86 μB/cell. As for the formation energy (no corrections): -1.003 eV per atom. Its crystal system is trigonal.

---

This record from Alexandria via LeMat-Bulk describes La2ZnSe after structural relaxation. The functional is PBE.

Cell: 7.9512 7.9512 7.9512 Å, 31.10 31.10 31.10°
Closest atoms and distances in Å follow each position.
Sites, in units of the cell vectors:
La 0.2457 0.2457 0.2457  3 Se 3.04, 3 Zn 3.16
La 0.7543 0.7543 0.7543  3 Se 3.04, 3 Zn 3.16
Zn 0.0000 0.0000 0.0000  6 La 3.16
Se 0.5000 0.5000 0.5000  6 La 3.04

Output
The calculation puts the total magnetization at 0.00 μB/cell. As for the formation energy (no corrections): -1.047 eV per atom. Its crystal system is trigonal. As for the energy above the lowest structure with this stoichiometry: 0.231 eV/f.u.

---

This record from Alexandria via LeMat-Bulk describes LaZnSe2 after structural relaxation. The functional is PBE.

Cell: 6.0943 6.0943 4.2567 Å, 90.04 90.04 38.53°
Closest atoms and distances in Å follow each position.
Sites, in units of the cell vectors:
La 0.0000 0.0000 0.0000  6 Se 3.02-3.09, 2 Zn 3.31-3.32
Zn 0.2206 0.2206 0.5023  1 Se 2.48
Se 0.4364 0.4364 0.4998  1 Zn 2.48
Se 0.7042 0.7042 0.9997  4 Zn 2.93-2.94, 2 La 3.09

Output
The calculation puts the total magnetization at 0.00 μB/cell. As for the formation energy (no corrections): -1.295 eV per atom. Its crystal system is monoclinic.

---

This record from Alexandria via LeMat-Bulk describes LaZnSe2 after structural relaxation. The functional is PBE.

Cell: 8.5635 8.5635 8.5635 Å, 29.81 29.81 29.81°
Closest atoms and distances in Å follow each position.
Sites, in units of the cell vectors:
La 0.0000 0.0000 0.0000  6 Se 3.03
Zn 0.5000 0.5000 0.5000  2 Se 2.45
Se 0.4003 0.4003 0.4003  1 Zn 2.45
Se 0.5997 0.5997 0.5997  1 Zn 2.45

Output
The calculation puts the total magnetization at 0.00 μB/cell. As for the formation energy (no corrections): -1.072 eV per atom. Its crystal system is trigonal.

---

no.,V (Å³ per cell)
1,118.75
2,113.68
3,119.05
4,110.48
5,124.97
6,101.77
7,251.77
8,120.78
9,119.03
10,98.48
11,137.47